#A
A geometry-optimized KFeHg2 structure. Source: Alexandria, functional GGA-PBE.

Cell: 4.462 5.885 8.352 Å, 90.00 90.00 90.00°
Space group Immm (No. 71)
Unique sites:
1 K 0.000 0.000 0.000 (multiplicity 2)
2 Fe 0.000 0.000 0.500 (multiplicity 2)
3 Hg 0.000 0.500 0.196 (multiplicity 4)

Properties
Magnetization ... 2.76 μB per formula unit
V ... 27.42 A^3/atom
Crystal system ... orthorhombic

#B
A geometry-optimized KFeHg2 structure. Source: Alexandria, functional GGA-PBE.

Cell: 3.166 4.360 15.793 Å, 90.00 90.00 90.00°
Space group Imm2 (No. 44)
Unique sites:
1 K 0.000 0.000 0.000 (multiplicity 2)
2 Fe 0.000 0.500 0.704 (multiplicity 2)
3 Hg 0.000 0.000 0.349 (multiplicity 2)
4 Hg 0.000 0.500 0.181 (multiplicity 2)

Properties
Magnetization ... 2.64 μB per formula unit
V ... 27.25 A^3/atom
Crystal system ... orthorhombic

Name the most stable of them. #B.

#A
A geometry-optimized La4FeHg structure. Source: Alexandria, functional GGA-PBE.

Cell: 9.056 9.056 9.056 Å, 90.00 90.00 90.00°
Space group F-43m (No. 216)
Unique sites:
1 La 0.124 0.124 0.124 (multiplicity 16)
2 Fe 0.250 0.250 0.750 (multiplicity 4)
3 Hg 0.000 0.000 0.500 (multiplicity 4)

Properties
Magnetization ... 2.21 μB per formula unit
V ... 30.95 A^3/atom
Crystal system ... cubic

#B
A geometry-optimized La4FeHg structure. Source: Alexandria, functional GGA-PBE.

Cell: 9.157 12.868 6.303 Å, 90.00 106.92 90.00°
Space group C2/c (No. 15)
Unique sites:
1 La 0.109 0.157 0.042 (multiplicity 8)
2 La 0.211 0.410 0.395 (multiplicity 8)
3 Fe 0.000 0.004 0.750 (multiplicity 4)
4 Hg 0.000 0.378 0.750 (multiplicity 4)

Properties
Magnetization ... 0.00 μB per formula unit
V ... 29.61 A^3/atom
Crystal system ... monoclinic

Name the most stable of them. #B.

#A
A geometry-optimized LiFeHg structure. Source: Alexandria, functional GGA-PBE.

Cell: 6.162 6.162 6.162 Å, 90.00 90.00 90.00°
Space group F-43m (No. 216)
Unique sites:
1 Li 0.000 0.000 0.000 (multiplicity 4)
2 Fe 0.000 0.000 0.500 (multiplicity 4)
3 Hg 0.250 0.250 0.250 (multiplicity 4)

Properties
Magnetization ... 2.74 μB per formula unit
V ... 19.50 A^3/atom
Crystal system ... cubic

#B
A geometry-optimized LiFeHg structure. Source: Alexandria, functional GGA-PBE.

Cell: 2.903 2.903 11.460 Å, 90.00 90.00 90.00°
Space group I4mm (No. 107)
Unique sites:
1 Li 0.000 0.000 0.000 (multiplicity 2)
2 Fe 0.000 0.000 0.657 (multiplicity 2)
3 Hg 0.000 0.000 0.331 (multiplicity 2)

Properties
Magnetization ... 2.60 μB per formula unit
V ... 16.09 A^3/atom
Crystal system ... tetragonal

Name the most stable of them. #B.

#A
A geometry-optimized LiFe2Hg2 structure. Source: Alexandria, functional GGA-PBE.

Cell: 3.426 3.426 14.719 Å, 90.00 90.00 90.00°
Space group I4/mmm (No. 139)
Unique sites:
1 Li 0.000 0.000 0.000 (multiplicity 2)
2 Fe 0.000 0.500 0.250 (multiplicity 4)
3 Hg 0.000 0.000 0.400 (multiplicity 4)

Properties
Magnetization ... 4.95 μB per formula unit
V ... 17.28 A^3/atom
Crystal system ... tetragonal

#B
A geometry-optimized LiFe2Hg2 structure. Source: Alexandria, functional GGA-PBE.

Cell: 7.847 7.847 2.879 Å, 90.00 90.00 90.00°
Space group P4/mbm (No. 127)
Unique sites:
1 Li 0.000 0.000 0.000 (multiplicity 2)
2 Fe 0.105 0.395 0.000 (multiplicity 4)
3 Hg 0.190 0.690 0.500 (multiplicity 4)

Properties
Magnetization ... 5.01 μB per formula unit
V ... 17.73 A^3/atom
Crystal system ... tetragonal

#C
A geometry-optimized LiFe2Hg2 structure. Source: Alexandria, functional GGA-PBE.

Cell: 5.068 5.068 7.495 Å, 90.00 90.00 90.00°
Space group I4/mmm (No. 139)
Unique sites:
1 Li 0.000 0.000 0.000 (multiplicity 2)
2 Fe 0.000 0.000 0.357 (multiplicity 4)
3 Hg 0.000 0.500 0.250 (multiplicity 4)

Properties
Magnetization ... 5.23 μB per formula unit
V ... 19.25 A^3/atom
Crystal system ... tetragonal

Name the most stable of them. #A.

#A
A geometry-optimized Mg2Fe2Hg structure. Source: Alexandria, functional GGA-PBE.

Cell: 3.909 3.909 12.135 Å, 90.00 90.00 90.00°
Space group I4/mmm (No. 139)
Unique sites:
1 Mg 0.000 0.500 0.250 (multiplicity 4)
2 Fe 0.000 0.000 0.088 (multiplicity 4)
3 Hg 0.000 0.000 0.500 (multiplicity 2)

Properties
Magnetization ... 5.10 μB per formula unit
V ... 18.54 A^3/atom
Crystal system ... tetragonal

#B
A geometry-optimized Mg2Fe2Hg structure. Source: Alexandria, functional GGA-PBE.

Cell: 3.354 3.354 16.297 Å, 90.00 90.00 90.00°
Space group I4/mmm (No. 139)
Unique sites:
1 Mg 0.000 0.000 0.114 (multiplicity 4)
2 Fe 0.000 0.500 0.250 (multiplicity 4)
3 Hg 0.000 0.000 0.500 (multiplicity 2)

Properties
Magnetization ... 4.81 μB per formula unit
V ... 18.34 A^3/atom
Crystal system ... tetragonal

Name the most stable of them. #B.

#A
A geometry-optimized MnFe3Hg structure. Source: Alexandria, functional GGA-PBE.

Cell: 4.281 4.281 4.281 Å, 90.00 90.00 90.00°
Space group Pm-3m (No. 221)
Unique sites:
1 Mn 0.000 0.000 0.000 (multiplicity 1)
2 Fe 0.000 0.000 0.500 (multiplicity 3)
3 Hg 0.500 0.500 0.500 (multiplicity 1)

Properties
Magnetization ... 5.85 μB per formula unit
V ... 15.69 A^3/atom
Crystal system ... cubic

#B
A geometry-optimized MnFe3Hg structure. Source: Alexandria, functional GGA-PBE.

Cell: 4.803 4.803 4.803 Å, 90.00 90.00 90.00°
Space group Pm-3m (No. 221)
Unique sites:
1 Mn 0.000 0.000 0.000 (multiplicity 1)
2 Fe 0.000 0.500 0.500 (multiplicity 3)
3 Hg 0.500 0.500 0.500 (multiplicity 1)

Properties
Magnetization ... 13.45 μB per formula unit
V ... 22.15 A^3/atom
Crystal system ... cubic

Name the most stable of them. #A.

#A
A geometry-optimized MnFeHg structure. Source: Alexandria, functional GGA-PBE.

Cell: 4.3096 4.3096 2.8265 Å, 90.00 90.00 120.00°
Space group P-6m2 (No. 187)
Unique sites:
1 Mn 0.0000 0.0000 0.0000 (multiplicity 1)
2 Fe 0.3333 0.6667 0.0000 (multiplicity 1)
3 Hg 0.6667 0.3333 0.5000 (multiplicity 1)

Properties
Magnetization ... 5.02 μB per formula unit
V ... 15.15 A^3/atom
Crystal system ... hexagonal

#B
A geometry-optimized MnFeHg structure. Source: Alexandria, functional GGA-PBE.

Cell: 3.045 3.045 9.637 Å, 90.00 90.00 90.00°
Space group I4mm (No. 107)
Unique sites:
1 Mn 0.000 0.000 0.000 (multiplicity 2)
2 Fe 0.000 0.000 0.387 (multiplicity 2)
3 Hg 0.000 0.000 0.695 (multiplicity 2)

Properties
Magnetization ... 4.38 μB per formula unit
V ... 14.90 A^3/atom
Crystal system ... tetragonal

Name the most stable of them. #B.

#A
A geometry-optimized FeHg2Mo structure. Source: Alexandria, functional GGA-PBE.

Cell: 4.154 4.154 8.108 Å, 90.00 90.00 90.00°
Space group I-4m2 (No. 119)
Unique sites:
1 Fe 0.000 0.000 0.000 (multiplicity 2)
2 Hg 0.000 0.000 0.500 (multiplicity 2)
3 Hg 0.000 0.500 0.750 (multiplicity 2)
4 Mo 0.000 0.500 0.250 (multiplicity 2)

Properties
Magnetization ... 2.04 μB per formula unit
V ... 17.49 A^3/atom
Crystal system ... tetragonal

#B
A geometry-optimized FeHg2Mo structure. Source: Alexandria, functional GGA-PBE.

Cell: 4.092 4.092 4.201 Å, 90.00 90.00 90.00°
Space group P4/mmm (No. 123)
Unique sites:
1 Fe 0.000 0.000 0.000 (multiplicity 1)
2 Hg 0.000 0.500 0.500 (multiplicity 2)
3 Mo 0.500 0.500 0.000 (multiplicity 1)

Properties
Magnetization ... 3.17 μB per formula unit
V ... 17.59 A^3/atom
Crystal system ... tetragonal

#C
A geometry-optimized FeHg2Mo structure. Source: Alexandria, functional GGA-PBE.

Cell: 6.575 6.575 6.575 Å, 90.00 90.00 90.00°
Space group F-43m (No. 216)
Unique sites:
1 Fe 0.000 0.000 0.000 (multiplicity 4)
2 Hg 0.000 0.000 0.500 (multiplicity 4)
3 Hg 0.250 0.250 0.750 (multiplicity 4)
4 Mo 0.250 0.250 0.250 (multiplicity 4)

Properties
Magnetization ... 0.94 μB per formula unit
V ... 17.76 A^3/atom
Crystal system ... cubic

Name the most stable of them. #B.

#A
A geometry-optimized Fe3HgMo structure. Source: Alexandria, functional GGA-PBE.

Cell: 4.704 4.704 4.704 Å, 90.00 90.00 90.00°
Space group Pm-3m (No. 221)
Unique sites:
1 Fe 0.000 0.000 0.500 (multiplicity 3)
2 Hg 0.000 0.000 0.000 (multiplicity 1)
3 Mo 0.500 0.500 0.500 (multiplicity 1)

Properties
Magnetization ... 10.55 μB per formula unit
V ... 20.81 A^3/atom
Crystal system ... cubic

#B
A geometry-optimized Fe3HgMo structure. Source: Alexandria, functional GGA-PBE.

Cell: 4.502 4.502 4.502 Å, 90.00 90.00 90.00°
Space group Pm-3m (No. 221)
Unique sites:
1 Fe 0.000 0.000 0.500 (multiplicity 3)
2 Hg 0.500 0.500 0.500 (multiplicity 1)
3 Mo 0.000 0.000 0.000 (multiplicity 1)

Properties
Magnetization ... 4.93 μB per formula unit
V ... 18.25 A^3/atom
Crystal system ... cubic

Name the most stable of them. #B.

#A
A geometry-optimized FeHg3N structure. Source: Alexandria, functional GGA-PBE.

Cell: 4.691 4.691 4.691 Å, 90.00 90.00 90.00°
Space group Pm-3m (No. 221)
Unique sites:
1 Fe 0.000 0.000 0.000 (multiplicity 1)
2 Hg 0.000 0.500 0.500 (multiplicity 3)
3 N 0.500 0.500 0.500 (multiplicity 1)

Properties
Magnetization ... 3.22 μB per formula unit
V ... 20.65 A^3/atom
Crystal system ... cubic

#B
A geometry-optimized FeHg3N structure. Source: Alexandria, functional GGA-PBE.

Cell: 5.193 5.193 5.193 Å, 90.00 90.00 90.00°
Space group Pm-3m (No. 221)
Unique sites:
1 Fe 0.000 0.000 0.000 (multiplicity 1)
2 Hg 0.000 0.000 0.500 (multiplicity 3)
3 N 0.500 0.500 0.500 (multiplicity 1)

Properties
Magnetization ... 5.27 μB per formula unit
V ... 28.01 A^3/atom
Crystal system ... cubic

Name the most stable of them. #A.

#A
A geometry-optimized FeHgSe2N structure. Source: Alexandria, functional GGA-PBE.

Cell: 5.360 5.360 4.076 Å, 90.00 90.00 90.00°
Space group P4/mmm (No. 123)
Unique sites:
1 Fe 0.000 0.000 0.000 (multiplicity 1)
2 Hg 0.500 0.500 0.500 (multiplicity 1)
3 Se 0.000 0.500 0.500 (multiplicity 2)
4 N 0.500 0.500 0.000 (multiplicity 1)

Properties
Magnetization ... 5.99 μB per formula unit
V ... 23.42 A^3/atom
Crystal system ... tetragonal

#B
A geometry-optimized FeHgSe2N structure. Source: Alexandria, functional GGA-PBE.

Cell: 5.078 5.078 3.416 Å, 90.00 90.00 90.00°
Space group P4/mmm (No. 123)
Unique sites:
1 Fe 0.000 0.000 0.000 (multiplicity 1)
2 Hg 0.500 0.500 0.500 (multiplicity 1)
3 Se 0.000 0.500 0.000 (multiplicity 2)
4 N 0.000 0.000 0.500 (multiplicity 1)

Properties
Magnetization ... 0.00 μB per formula unit
V ... 17.61 A^3/atom
Crystal system ... tetragonal

Name the most stable of them. #B.

#A
A geometry-optimized FeHgTe2N structure. Source: Alexandria, functional GGA-PBE.

Cell: 5.727 5.727 3.990 Å, 90.00 90.00 90.00°
Space group P4/mmm (No. 123)
Unique sites:
1 Fe 0.000 0.000 0.000 (multiplicity 1)
2 Hg 0.500 0.500 0.500 (multiplicity 1)
3 Te 0.000 0.500 0.500 (multiplicity 2)
4 N 0.500 0.500 0.000 (multiplicity 1)

Properties
Magnetization ... 3.81 μB per formula unit
V ... 26.18 A^3/atom
Crystal system ... tetragonal

#B
A geometry-optimized FeHgTe2N structure. Source: Alexandria, functional GGA-PBE.

Cell: 5.479 5.479 3.413 Å, 90.00 90.00 90.00°
Space group P4/mmm (No. 123)
Unique sites:
1 Fe 0.000 0.000 0.000 (multiplicity 1)
2 Hg 0.500 0.500 0.500 (multiplicity 1)
3 Te 0.000 0.500 0.000 (multiplicity 2)
4 N 0.000 0.000 0.500 (multiplicity 1)

Properties
Magnetization ... 0.00 μB per formula unit
V ... 20.49 A^3/atom
Crystal system ... tetragonal

Name the most stable of them. #B.

#A
A geometry-optimized Na3FeHg structure. Source: Alexandria, functional GGA-PBE.

Cell: 5.661 5.661 5.661 Å, 90.00 90.00 90.00°
Space group Pm-3m (No. 221)
Unique sites:
1 Na 0.000 0.000 0.500 (multiplicity 3)
2 Fe 0.000 0.000 0.000 (multiplicity 1)
3 Hg 0.500 0.500 0.500 (multiplicity 1)

Properties
Magnetization ... 3.35 μB per formula unit
V ... 36.28 A^3/atom
Crystal system ... cubic

#B
A geometry-optimized Na3FeHg structure. Source: Alexandria, functional GGA-PBE.

Cell: 5.627 5.627 5.627 Å, 90.00 90.00 90.00°
Space group Pm-3m (No. 221)
Unique sites:
1 Na 0.000 0.000 0.500 (multiplicity 3)
2 Fe 0.500 0.500 0.500 (multiplicity 1)
3 Hg 0.000 0.000 0.000 (multiplicity 1)

Properties
Magnetization ... 3.30 μB per formula unit
V ... 35.64 A^3/atom
Crystal system ... cubic

Name the most stable of them. #A.